DFT (GGA-PBE) results for a relaxed ErGaSi crystal.

Geometry as POSCAR:
```
ErGaSi
1.0
-2.0096 2.0096 4.0413
2.0096 -2.0096 4.0413
2.0096 2.0096 -4.0413
Er Ga Si
1 1 1
Direct
0.0000 0.0000 0.0000
0.3470 0.3470 0.0000
0.6443 0.6443 0.0000
```

Properties
Raw formation energy (meV per atom): -208
Size of the total moment (μB per atom): 0.000
Fermi-level density of states (states/eV/atom): 0.712
VASP energy (eV/f.u.): -13.64